(1)
Computed, not measured: an optimized crystal structure of ZrTc3F at the GGA-PBE level of DFT.

Cell and atoms, written as POSCAR:
```
ZrTc3F
1.0
-3.143 3.904 -0.037
-0.881 -0.663 4.890
3.804 3.073 1.102
Zr F Tc
1 1 3
Direct
0.000 0.000 0.000 Zr
0.500 0.500 0.500 F
0.500 0.000 0.000 Tc
0.000 0.000 0.500 Tc
0.000 0.500 0.000 Tc
```

## Properties
Fermi-level density of states (states/eV/f.u.): 5.90
Magnetization (μB per cell): 8.23
Space group: No. 221
Formation energy (no corrections) (eV per atom): 2.01

(2)
Computed, not measured: an optimized crystal structure of ZrTcF3 at the GGA-PBE level of DFT.

Cell and atoms, written as POSCAR:
```
ZrTcF3
1.0
4.356 0.000 0.000
0.000 4.356 0.000
0.000 0.000 4.356
F Zr Tc
3 1 1
Direct
0.000 0.500 0.000 F
0.500 0.000 0.000 F
0.000 0.000 0.500 F
0.000 0.000 0.000 Zr
0.500 0.500 0.500 Tc
```

## Properties
Fermi-level density of states (states/eV/f.u.): 11.70
Magnetization (μB per cell): 3.40
Excess energy over the best structure of this formula in the dataset (meV/atom): 0
Space group: No. 221
Formation energy (no corrections) (eV per atom): -1.31

(3)
Computed, not measured: an optimized crystal structure of Zr2TcF at the GGA-PBE level of DFT.

Cell and atoms, written as POSCAR:
```
Zr2TcF
1.0
0.000 3.249 3.249
3.249 0.000 3.249
3.249 3.249 0.000
F Zr Tc
1 2 1
Direct
0.000 0.000 0.000 F
0.750 0.750 0.750 Zr
0.250 0.250 0.250 Zr
0.500 0.500 0.500 Tc
```

## Properties
Fermi-level density of states (states/eV/f.u.): 2.96
Magnetization (μB per cell): 0.00
Excess energy over the best structure of this formula in the dataset (meV/atom): 128
Space group: No. 225
Formation energy (no corrections) (eV per atom): -0.56

(4)
Computed, not measured: an optimized crystal structure of Zr2Tc2F at the GGA-PBE level of DFT.

Cell and atoms, written as POSCAR:
```
Zr2Tc2F
1.0
-4.590 -1.927 -3.798
-2.621 -3.124 4.752
-2.431 3.673 1.074
Tc Zr F
4 4 2
Direct
0.370 0.130 0.500 Tc
0.130 0.630 0.500 Tc
0.630 0.870 0.500 Tc
0.870 0.370 0.500 Tc
0.824 0.676 0.000 Zr
0.324 0.824 0.000 Zr
0.176 0.324 0.000 Zr
0.676 0.176 0.000 Zr
0.500 0.500 0.000 F
0.000 0.000 0.000 F
```

## Properties
Fermi-level density of states (states/eV/f.u.): 3.05
Magnetization (μB per cell): 0.00
Excess energy over the best structure of this formula in the dataset (meV/atom): 0
Space group: No. 127
Formation energy (no corrections) (eV per atom): -0.42

(5)
Computed, not measured: an optimized crystal structure of ZrTcF2 at the GGA-PBE level of DFT.

Cell and atoms, written as POSCAR:
```
ZrTcF2
1.0
-0.964 -2.758 -2.377
-0.342 -2.380 2.900
-8.071 -0.608 0.995
F Zr Tc
4 2 2
Direct
0.875 0.864 0.750 F
0.375 0.386 0.750 F
0.614 0.125 0.250 F
0.136 0.625 0.250 F
0.500 0.500 0.000 Zr
0.250 0.750 0.500 Zr
0.000 0.000 0.000 Tc
0.750 0.250 0.500 Tc
```

## Properties
Fermi-level density of states (states/eV/f.u.): 1.39
Magnetization (μB per cell): 2.00
Excess energy over the best structure of this formula in the dataset (meV/atom): 111
Space group: No. 122
Formation energy (no corrections) (eV per atom): -1.12

(6)
Computed, not measured: an optimized crystal structure of Zr3TcF at the GGA-PBE level of DFT.

Cell and atoms, written as POSCAR:
```
Zr3TcF
1.0
-1.553 4.725 -0.945
-2.226 0.178 4.544
4.274 1.809 2.023
F Zr Tc
1 3 1
Direct
0.500 0.500 0.500 F
0.000 0.500 0.000 Zr
0.500 0.000 0.000 Zr
0.000 0.000 0.500 Zr
0.000 0.000 0.000 Tc
```

## Properties
Fermi-level density of states (states/eV/f.u.): 3.07
Magnetization (μB per cell): 0.00
Excess energy over the best structure of this formula in the dataset (meV/atom): 725
Space group: No. 221
Formation energy (no corrections) (eV per atom): 0.33

(7)
Computed, not measured: an optimized crystal structure of Zr3TcF at the GGA-PBE level of DFT.

Cell and atoms, written as POSCAR:
```
Zr3TcF
1.0
-4.138 -1.517 -0.837
-0.527 -0.962 4.350
-1.650 4.111 0.709
F Zr Tc
1 3 1
Direct
0.000 0.000 0.000 F
0.000 0.000 0.500 Zr
0.500 0.000 0.000 Zr
0.000 0.500 0.000 Zr
0.500 0.500 0.500 Tc
```

## Properties
Fermi-level density of states (states/eV/f.u.): 9.55
Magnetization (μB per cell): 0.00
Excess energy over the best structure of this formula in the dataset (meV/atom): 0
Space group: No. 221
Formation energy (no corrections) (eV per atom): -0.40

(8)
Computed, not measured: an optimized crystal structure of ZrTcF2 at the GGA-PBE level of DFT.

Cell and atoms, written as POSCAR:
```
ZrTcF2
1.0
2.292 0.000 3.937
-1.146 1.985 3.937
-1.146 -1.985 3.937
Tc F Zr
1 2 1
Direct
0.500 0.500 0.500 Tc
0.186 0.186 0.186 F
0.814 0.814 0.814 F
0.000 0.000 0.000 Zr
```

## Properties
Fermi-level density of states (states/eV/f.u.): 3.47
Magnetization (μB per cell): 0.00
Excess energy over the best structure of this formula in the dataset (meV/atom): 494
Space group: No. 166
Formation energy (no corrections) (eV per atom): -0.74

(9)
Computed, not measured: an optimized crystal structure of TeF4 at the GGA-PBE level of DFT.

Cell and atoms, written as POSCAR:
```
TeF4
1.0
4.210 0.000 0.000
0.000 4.210 0.000
0.000 0.000 4.210
Te F
1 4
Direct
0.500 0.500 0.500 Te
0.500 0.000 0.500 F
0.000 0.000 0.000 F
0.500 0.500 0.000 F
0.000 0.500 0.500 F
```

## Properties
Fermi-level density of states (states/eV/f.u.): 5.52
Magnetization (μB per cell): 0.11
Excess energy over the best structure of this formula in the dataset (meV/atom): 648
Space group: No. 221
Formation energy (no corrections) (eV per atom): -1.48

(10)
Computed, not measured: an optimized crystal structure of TeF at the GGA-PBE level of DFT.

Cell and atoms, written as POSCAR:
```
TeF
1.0
8.481 0.000 0.000
0.000 10.347 0.000
0.000 0.000 8.017
F Te
16 16
Direct
0.250 0.068 0.750 F
0.500 0.682 0.000 F
0.750 0.068 0.250 F
0.000 0.318 0.500 F
0.000 0.682 0.500 F
0.250 0.568 0.250 F
0.500 0.818 0.500 F
0.500 0.182 0.500 F
0.000 0.818 0.000 F
0.750 0.568 0.750 F
0.750 0.432 0.250 F
0.250 0.932 0.250 F
0.500 0.318 0.000 F
0.000 0.182 0.000 F
0.750 0.932 0.750 F
0.250 0.432 0.750 F
0.250 0.750 0.576 Te
0.000 0.500 0.826 Te
0.000 0.000 0.674 Te
0.250 0.250 0.076 Te
0.500 0.000 0.174 Te
0.500 0.000 0.826 Te
0.250 0.250 0.424 Te
0.000 0.000 0.326 Te
0.250 0.750 0.924 Te
0.000 0.500 0.174 Te
0.500 0.500 0.326 Te
0.750 0.250 0.924 Te
0.500 0.500 0.674 Te
0.750 0.750 0.076 Te
0.750 0.750 0.424 Te
0.750 0.250 0.576 Te
```

## Properties
Fermi-level density of states (states/eV/f.u.): 1.18
Magnetization (μB per cell): 0.00
Excess energy over the best structure of this formula in the dataset (meV/atom): 218
Space group: No. 70
Formation energy (no corrections) (eV per atom): -0.90

(11)
Computed, not measured: an optimized crystal structure of TeF at the GGA-PBE level of DFT.

Cell and atoms, written as POSCAR:
```
TeF
1.0
11.410 0.000 0.000
0.000 11.410 0.000
0.000 0.000 3.082
Te F
8 8
Direct
0.315 0.995 0.500 Te
0.185 0.505 0.000 Te
0.505 0.815 0.000 Te
0.005 0.315 0.500 Te
0.685 0.005 0.500 Te
0.495 0.185 0.000 Te
0.995 0.685 0.500 Te
0.815 0.495 0.000 Te
0.687 0.614 0.000 F
0.813 0.886 0.500 F
0.187 0.114 0.500 F
0.114 0.813 0.500 F
0.614 0.313 0.000 F
0.313 0.386 0.000 F
0.386 0.687 0.000 F
0.886 0.187 0.500 F
```

## Properties
Fermi-level density of states (states/eV/f.u.): 0.33
Magnetization (μB per cell): 0.00
Excess energy over the best structure of this formula in the dataset (meV/atom): 123
Space group: No. 87
Formation energy (no corrections) (eV per atom): -1.00

(12)
Computed, not measured: an optimized crystal structure of TeF at the GGA-PBE level of DFT.

Cell and atoms, written as POSCAR:
```
TeF
1.0
-0.501 8.436 5.906
-6.143 -0.903 -8.231
-2.154 -1.358 1.756
Te F
6 6
Direct
0.185 0.336 0.750 Te
0.150 0.815 0.750 Te
0.815 0.664 0.250 Te
0.336 0.150 0.250 Te
0.850 0.185 0.250 Te
0.664 0.850 0.750 Te
0.856 0.496 0.250 F
0.360 0.856 0.750 F
0.144 0.504 0.750 F
0.504 0.360 0.250 F
0.496 0.640 0.750 F
0.640 0.144 0.250 F
```

## Properties
Fermi-level density of states (states/eV/f.u.): 1.27
Magnetization (μB per cell): 0.00
Excess energy over the best structure of this formula in the dataset (meV/atom): 175
Space group: No. 176
Formation energy (no corrections) (eV per atom): -0.95